# ScTlRu2C, optimized geometry, DFT PBE
# ΔE_f   10.54 eV/f.u.
data_ScTlRu2C
_space_group_name_H-M_alt 'P 1'
_space_group_IT_number 1
_space_group_name_Hall 'P 1'
_cell_length_a 5.056
_cell_length_b 5.056
_cell_length_c 3.999
_cell_angle_alpha 90.00
_cell_angle_beta 90.00
_cell_angle_gamma 90.00
loop_
_atom_site_label
_atom_site_type_symbol
_atom_site_fract_x
_atom_site_fract_y
_atom_site_fract_z
Sc1 Sc 0.000 0.000 0.000
Tl1 Tl 0.500 0.500 0.500
Ru1 Ru 0.000 0.500 0.500
Ru2 Ru 0.500 0.000 0.500
C1 C 0.500 0.500 0.000



# Ce2Pm3Te6, optimized geometry, DFT PBE
# E_form (uncorrected)   -1.436 eV/atom
data_Ce2Pm3Te6
_space_group_name_H-M_alt 'P 1'
_space_group_IT_number 1
_space_group_name_Hall 'P 1'
_cell_length_a 7.709
_cell_length_b 7.709
_cell_length_c 7.742
_cell_angle_alpha 99.62
_cell_angle_beta 99.62
_cell_angle_gamma 120.01
loop_
_atom_site_label
_atom_site_type_symbol
_atom_site_fract_x
_atom_site_fract_y
_atom_site_fract_z
Ce1 Ce 0.165 0.835 0.000
Ce2 Ce 0.835 0.165 0.000
Pm1 Pm 0.000 0.000 0.500
Pm2 Pm 0.332 0.668 0.500
Pm3 Pm 0.668 0.332 0.500
Te1 Te 0.094 0.419 0.755
Te2 Te 0.258 0.258 0.247
Te3 Te 0.419 0.094 0.755
Te4 Te 0.581 0.906 0.245
Te5 Te 0.742 0.742 0.753
Te6 Te 0.906 0.581 0.245



# Cr3Fe3GeAs2, optimized geometry, DFT PBE
# ΔE_f   -0.68 eV/f.u.
data_Cr3Fe3GeAs2
_space_group_name_H-M_alt 'P 1'
_space_group_IT_number 1
_space_group_name_Hall 'P 1'
_cell_length_a 6.007
_cell_length_b 6.007
_cell_length_c 3.755
_cell_angle_alpha 90.00
_cell_angle_beta 90.00
_cell_angle_gamma 120.00
loop_
_atom_site_label
_atom_site_type_symbol
_atom_site_fract_x
_atom_site_fract_y
_atom_site_fract_z
Cr1 Cr 0.000 0.579 0.000
Cr2 Cr 0.421 0.421 0.000
Cr3 Cr 0.579 0.000 0.000
Fe1 Fe 0.000 0.244 0.500
Fe2 Fe 0.244 0.000 0.500
Fe3 Fe 0.756 0.756 0.500
Ge1 Ge 0.000 0.000 0.000
As1 As 0.333 0.667 0.500
As2 As 0.667 0.333 0.500



# FeIrSCl2, optimized geometry, DFT PBE
# Energy relative to the lowest polymorph listed for this composition   0.3503 eV per atom
# E_form (uncorrected)   0.945 eV/atom
data_FeIrSCl2
_space_group_name_H-M_alt 'P 1'
_space_group_IT_number 1
_space_group_name_Hall 'P 1'
_cell_length_a 4.554
_cell_length_b 4.554
_cell_length_c 4.322
_cell_angle_alpha 90.00
_cell_angle_beta 90.00
_cell_angle_gamma 90.00
loop_
_atom_site_label
_atom_site_type_symbol
_atom_site_fract_x
_atom_site_fract_y
_atom_site_fract_z
Fe1 Fe 0.000 0.000 0.000
Ir1 Ir 0.500 0.500 0.500
S1 S 0.000 0.000 0.500
Cl1 Cl 0.000 0.500 0.000
Cl2 Cl 0.500 0.000 0.000



# Ba2AsSe, optimized geometry, DFT PBE
# Energy relative to the lowest polymorph listed for this composition   0.7821 eV per atom
# E_form (uncorrected)   -0.599 eV/atom
data_Ba2AsSe
_space_group_name_H-M_alt 'P 1'
_space_group_IT_number 1
_space_group_name_Hall 'P 1'
_cell_length_a 5.600
_cell_length_b 5.600
_cell_length_c 5.600
_cell_angle_alpha 60.00
_cell_angle_beta 60.00
_cell_angle_gamma 60.00
loop_
_atom_site_label
_atom_site_type_symbol
_atom_site_fract_x
_atom_site_fract_y
_atom_site_fract_z
Ba1 Ba 0.000 0.000 0.000
Ba2 Ba 0.250 0.250 0.250
As1 As 0.500 0.500 0.500
Se1 Se 0.750 0.750 0.750



# Ac2Pr2Cd, optimized geometry, DFT PBE
# Energy relative to the lowest polymorph listed for this composition   0.0000 eV per atom
# ΔE_f   -0.51 eV/f.u.
data_Ac2Pr2Cd
_space_group_name_H-M_alt 'P 1'
_space_group_IT_number 1
_space_group_name_Hall 'P 1'
_cell_length_a 12.361
_cell_length_b 12.361
_cell_length_c 12.361
_cell_angle_alpha 161.67
_cell_angle_beta 161.67
_cell_angle_gamma 26.03
loop_
_atom_site_label
_atom_site_type_symbol
_atom_site_fract_x
_atom_site_fract_y
_atom_site_fract_z
Ac1 Ac 0.089 0.089 0.000
Ac2 Ac 0.911 0.911 0.000
Pr1 Pr 0.300 0.300 0.000
Pr2 Pr 0.700 0.700 0.000
Cd1 Cd 0.500 0.500 0.000



no.,electronic total energy (eV per atom)
1,-5.187
2,-5.524
3,-7.650
4,-4.083
5,-3.594
6,-3.841